No. 1
The following is a GGA-PBE calculation of a relaxed structure of IrRu2Cl, from Alexandria.

Cell lengths 2.8192, 4.6334, 8.8686 Å; angles 90.00, 90.00, 90.00 degrees
Space group Immm (No. 71)
Asymmetric unit:
Ir  0.0000  0.0000  0.0000 [2 per cell]
Ru  0.0000  0.5000  0.2307 [4 per cell]
Cl  0.0000  0.0000  0.5000 [2 per cell]

energy relative to the elements, uncorrected	0.869	eV/atom
raw total energy	-51.6	eV/cell
offset from the most stable computed form	0.471	eV/atom
M_tot	0.0	μB per formula unit

=====

No. 2
The following is a GGA-PBE calculation of a relaxed structure of MnAsRh, from Alexandria.

Cell lengths 3.0671, 3.7883, 7.6878 Å; angles 90.00, 90.00, 90.00 degrees
Space group Imm2 (No. 44)
Asymmetric unit:
Mn  0.0000  0.0000  0.0000 [2 per cell]
As  0.0000  0.0000  0.3235 [2 per cell]
Rh  0.0000  0.0000  0.6545 [2 per cell]

formation energy from the elements	-0.139	eV/atom
raw total energy	-43.2	eV/cell
M_tot	3.8	μB per formula unit

=====

Number 1: calculated density 12.32 Mg/m³. Number 2: calculated density 8.65 Mg/m³.